DFT (PBE) results for a relaxed structure of Ca2CoSe.

POSCAR file:
```
Ca2CoSe
1.0
2.0182 1.1652 7.2904
-2.0182 1.1652 7.2904
0.0000 -2.3304 7.2904
Ca Co Se
2 1 1
Direct
0.2475 0.2475 0.2475 Ca
0.7525 0.7525 0.7525 Ca
0.0000 0.0000 0.0000 Co
0.5000 0.5000 0.5000 Se
```

Summary:
The calculation puts the total magnetic moment at 1.1 μB/f.u. As for the density of states at the Fermi level: 2.168 states/eV/cell. For the volume, the calculation gives 103 Å³ per cell. As for the crystal system: trigonal. The energy relative to the elements, uncorrected comes out at -2.11 eV/f.u. The space group is R-3m (166).

DFT (PBE) results for a relaxed structure of Tb2Sm15Mg2.

POSCAR file:
```
Tb2Sm15Mg2
1.0
5.6351 3.2534 5.8255
-5.6351 3.2534 5.8255
0.0000 -6.5068 5.8255
Tb Sm Mg
2 15 2
Direct
0.1809 0.1809 0.1809 Tb
0.8191 0.8191 0.8191 Tb
0.0000 0.5000 0.5000 Sm
0.1339 0.1339 0.6540 Sm
0.1339 0.6540 0.1339 Sm
0.2031 0.5000 0.7969 Sm
0.2031 0.7969 0.5000 Sm
0.3460 0.8661 0.8661 Sm
0.5000 0.0000 0.5000 Sm
0.5000 0.2031 0.7969 Sm
0.5000 0.5000 0.0000 Sm
0.5000 0.7969 0.2031 Sm
0.6540 0.1339 0.1339 Sm
0.7969 0.2031 0.5000 Sm
0.7969 0.5000 0.2031 Sm
0.8661 0.3460 0.8661 Sm
0.8661 0.8661 0.3460 Sm
0.4071 0.4071 0.4071 Mg
0.5929 0.5929 0.5929 Mg
```

Summary:
The calculation puts the total magnetic moment at 0.0 μB/f.u. As for the density of states at the Fermi level: 24.739 states/eV/cell. For the volume, the calculation gives 641 Å³ per cell. As for the crystal system: trigonal. The calculation puts the energy of formation from the pure elements at 0.225 eV per atom. The space group is R-3m (166).

DFT (PBE) results for a relaxed structure of Li3Au8.

POSCAR file:
```
Li3Au8
1.0
4.5769 -2.0424 0.0000
4.5769 2.0424 0.0000
-2.6057 0.0000 9.9785
Li Au
3 8
Direct
0.0000 0.0000 0.0000 Li
0.0946 0.0946 0.6391 Li
0.9054 0.9054 0.3609 Li
0.1838 0.1838 0.2725 Au
0.2725 0.2725 0.9107 Au
0.3658 0.3658 0.5447 Au
0.4564 0.4564 0.1839 Au
0.5436 0.5436 0.8161 Au
0.6342 0.6342 0.4553 Au
0.7276 0.7276 0.0893 Au
0.8162 0.8162 0.7275 Au
```

Summary:
The calculation puts the total magnetic moment at 0.0 μB/f.u. As for the density of states at the Fermi level: 2.750 states/eV/cell. For the volume, the calculation gives 187 Å³ per cell. As for the crystal system: monoclinic. The calculation puts the energy of formation from the pure elements at -0.361 eV per atom. The space group is C2/m (12).

DFT (PBE) results for a relaxed structure of CePrZnNi.

POSCAR file:
```
CePrZnNi
1.0
0.0000 3.5814 3.5814
3.5814 0.0000 3.5814
3.5814 3.5814 0.0000
Ce Pr Zn Ni
1 1 1 1
Direct
0.0000 0.0000 0.0000 Ce
0.5000 0.5000 0.5000 Pr
0.2500 0.2500 0.2500 Zn
0.7500 0.7500 0.7500 Ni
```

Summary:
The calculation puts the total magnetic moment at 0.6 μB/f.u. As for the density of states at the Fermi level: 7.380 states/eV/cell. For the volume, the calculation gives 92 Å³ per cell. As for the crystal system: cubic. The calculation puts the energy of formation from the pure elements at -0.164 eV per atom. The space group is F-43m (216).

DFT (PBE) results for a relaxed structure of YZr2PtO.

POSCAR file:
```
YZr2PtO
1.0
4.4298 0.0000 0.0000
0.0000 4.4298 0.0000
0.0000 0.0000 4.6626
Y Zr Pt O
1 2 1 1
Direct
0.0000 0.0000 0.0000 Y
0.0000 0.5000 0.5000 Zr
0.5000 0.0000 0.5000 Zr
0.5000 0.5000 0.0000 Pt
0.0000 0.0000 0.5000 O
```

Summary:
The calculation puts the total magnetic moment at 0.0 μB/f.u. As for the density of states at the Fermi level: 2.658 states/eV/cell. For the volume, the calculation gives 91 Å³ per cell. As for the crystal system: tetragonal. The energy relative to the elements, uncorrected comes out at -7.06 eV/f.u. The space group is P4/mmm (123).

DFT (PBE) results for a relaxed structure of Ti6CrIn.

POSCAR file:
```
Ti6CrIn
1.0
2.3042 1.3303 7.2789
-2.3042 1.3303 7.2789
0.0000 -2.6606 7.2789
Ti Cr In
6 1 1
Direct
0.1058 0.1058 0.1058 Ti
0.2399 0.2399 0.2399 Ti
0.3677 0.3677 0.3677 Ti
0.6323 0.6323 0.6323 Ti
0.7601 0.7601 0.7601 Ti
0.8942 0.8942 0.8942 Ti
0.0000 0.0000 0.0000 Cr
0.5000 0.5000 0.5000 In
```

Summary:
The calculation puts the total magnetic moment at 0.0 μB/f.u. As for the density of states at the Fermi level: 12.788 states/eV/cell. For the volume, the calculation gives 134 Å³ per cell. As for the crystal system: trigonal. The calculation puts the energy of formation from the pure elements at 0.012 eV per atom. The space group is R-3m (166).

DFT (PBE) results for a relaxed structure of Dy6Te3P2Pt.

POSCAR file:
```
Dy6Te3P2Pt
1.0
9.2572 -2.0590 0.0000
9.2572 2.0590 0.0000
-2.1763 0.0000 8.2946
Dy Te P Pt
6 3 2 1
Direct
0.0092 0.0092 0.2282 Dy
0.3249 0.3249 0.4376 Dy
0.3384 0.3384 0.8912 Dy
0.6616 0.6616 0.1088 Dy
0.6751 0.6751 0.5624 Dy
0.9908 0.9908 0.7718 Dy
0.1673 0.1673 0.8318 Te
0.5000 0.5000 0.5000 Te
0.8327 0.8327 0.1682 Te
0.1683 0.1683 0.3376 P
0.8317 0.8317 0.6624 P
0.5000 0.5000 0.0000 Pt
```

Summary:
The calculation puts the total magnetic moment at 0.0 μB/f.u. As for the density of states at the Fermi level: 6.345 states/eV/cell. For the volume, the calculation gives 316 Å³ per cell. As for the crystal system: monoclinic. The energy relative to the elements, uncorrected comes out at -17.29 eV/f.u. The space group is C2/m (12).

DFT (PBE) results for a relaxed structure of BaTiMo2S.

POSCAR file:
```
BaTiMo2S
1.0
5.0001 0.0000 0.0000
0.0000 5.0001 0.0000
0.0000 0.0000 4.9726
Ba Ti Mo S
1 1 2 1
Direct
0.0000 0.0000 0.0000 Ba
0.0000 0.0000 0.5000 Ti
0.0000 0.5000 0.0000 Mo
0.5000 0.0000 0.0000 Mo
0.5000 0.5000 0.5000 S
```

Summary:
The calculation puts the total magnetic moment at 0.0 μB/f.u. As for the density of states at the Fermi level: 10.404 states/eV/cell. For the volume, the calculation gives 124 Å³ per cell. As for the crystal system: tetragonal. The energy relative to the elements, uncorrected comes out at 14.00 eV/f.u. The space group is P4/mmm (123).

Question: What is the total magnetic moment in the sixth record?
Answer: 0.0 μB/f.u.